[1]
! Nb3ReO | the Alexandria database | PBE | relaxed; values from VASP
! - symmetry = Pm-3m (221)
! - magnetic moment (μB per atom) = 0.000
! - E (eV/atom) = -10.043
! - ΔE_f (raw) (eV per atom) = -0.520
&SYSTEM
  ibrav = 0, nat = 5, ntyp = 3
/
ATOMIC_SPECIES
Nb 92.91 Nb.upf
Re 186.21 Re.upf
O 16.00 O.upf
ATOMIC_POSITIONS crystal
Nb 0.0000 0.5000 0.0000
Re 0.5000 0.5000 0.5000
Nb 0.0000 0.0000 0.5000
O 0.0000 0.0000 0.0000
Nb 0.5000 0.0000 0.0000
CELL_PARAMETERS angstrom
-3.0855 -1.3458 -2.5832
-1.7144 -2.2032 3.1955
-2.3548 3.3674 1.0583

[2]
! NbRe3O | the Alexandria database | PBE | relaxed; values from VASP
! - symmetry = Pm-3m (221)
! - magnetic moment (μB per atom) = 0.507
! - E (eV/atom) = -7.343
! - ΔE_f (raw) (eV per atom) = 3.132
&SYSTEM
  ibrav = 0, nat = 5, ntyp = 3
/
ATOMIC_SPECIES
Re 186.21 Re.upf
O 16.00 O.upf
Nb 92.91 Nb.upf
ATOMIC_POSITIONS crystal
Re 0.5000 0.0000 0.0000
O 0.5000 0.5000 0.5000
Re 0.0000 0.5000 0.0000
Re 0.0000 0.0000 0.5000
Nb 0.0000 0.0000 0.0000
CELL_PARAMETERS angstrom
4.7701 0.0000 0.0000
0.0000 4.7701 0.0000
0.0000 0.0000 4.7701

[3]
! NbReO3 | the Alexandria database | PBE | relaxed; values from VASP
! - symmetry = Pm-3m (221)
! - magnetic moment (μB per atom) = 0.955
! - E (eV/atom) = -8.121
! - ΔE_f (raw) (eV per atom) = -0.643
&SYSTEM
  ibrav = 0, nat = 5, ntyp = 3
/
ATOMIC_SPECIES
O 16.00 O.upf
Nb 92.91 Nb.upf
Re 186.21 Re.upf
ATOMIC_POSITIONS crystal
O 0.5000 0.0000 0.0000
O 0.0000 0.0000 0.5000
Nb 0.0000 0.0000 0.0000
Re 0.5000 0.5000 0.5000
O 0.0000 0.5000 0.0000
CELL_PARAMETERS angstrom
-1.8361 3.1767 1.6508
0.4837 -1.6181 3.6518
3.5472 1.8650 0.3565

[4]
! NbRe3O | the Alexandria database | PBE | relaxed; values from VASP
! - symmetry = Pm-3m (221)
! - magnetic moment (μB per atom) = 0.000
! - E (eV/atom) = -10.297
! - ΔE_f (raw) (eV per atom) = 0.177
&SYSTEM
  ibrav = 0, nat = 5, ntyp = 3
/
ATOMIC_SPECIES
Re 186.21 Re.upf
O 16.00 O.upf
Nb 92.91 Nb.upf
ATOMIC_POSITIONS crystal
Re 0.0000 0.0000 0.5000
Re 0.0000 0.5000 0.0000
Re 0.5000 0.0000 0.0000
O 0.0000 0.0000 0.0000
Nb 0.5000 0.5000 0.5000
CELL_PARAMETERS angstrom
4.1267 0.0000 0.0000
0.0000 4.1267 0.0000
0.0000 0.0000 4.1267

[5]
! Nb2ReO8 | the Alexandria database | PBE | relaxed; values from VASP
! - symmetry = C2/c (15)
! - magnetic moment (μB per atom) = 0.093
! - E (eV/atom) = -8.516
! - ΔE_f (raw) (eV per atom) = -1.948
&SYSTEM
  ibrav = 0, nat = 22, ntyp = 3
/
ATOMIC_SPECIES
O 16.00 O.upf
Re 186.21 Re.upf
Nb 92.91 Nb.upf
ATOMIC_POSITIONS crystal
O 0.1997 0.4268 0.6433
Re 0.6499 0.3501 0.7500
O 0.9241 0.7556 0.0711
Nb 0.9466 0.3178 0.2569
O 0.4334 0.6676 0.5785
O 0.8003 0.5732 0.3567
Nb 0.6822 0.0534 0.2431
O 0.8814 0.2368 0.5891
O 0.5732 0.8003 0.8567
Nb 0.3178 0.9466 0.7569
O 0.5666 0.3324 0.4215
Nb 0.0534 0.6822 0.7431
O 0.7556 0.9241 0.5711
O 0.2444 0.0759 0.4289
O 0.3324 0.5666 0.9215
O 0.1186 0.7632 0.4109
O 0.6676 0.4334 0.0785
O 0.7632 0.1186 0.9109
O 0.4268 0.1997 0.1433
Re 0.3501 0.6499 0.2500
O 0.2368 0.8814 0.0891
O 0.0759 0.2444 0.9289
CELL_PARAMETERS angstrom
3.0607 10.0625 -0.0317
-3.0607 10.0625 -0.0317
0.0000 0.0425 5.1951

[6]
! Nb4ReO4 | the Alexandria database | PBE | relaxed; values from VASP
! - symmetry = P-1 (2)
! - magnetic moment (μB per atom) = 0.000
! - E (eV/atom) = -9.254
! - ΔE_f (raw) (eV per atom) = -1.192
&SYSTEM
  ibrav = 0, nat = 18, ntyp = 3
/
ATOMIC_SPECIES
Re 186.21 Re.upf
O 16.00 O.upf
Nb 92.91 Nb.upf
ATOMIC_POSITIONS crystal
Re 0.6760 0.6953 0.1956
O 0.3672 0.4810 0.2504
O 0.6328 0.5190 0.7496
O 0.1925 0.1017 0.9929
O 0.8404 0.4289 0.3692
O 0.7741 0.9253 0.5366
O 0.2259 0.0747 0.4634
Nb 0.0940 0.7466 0.3777
Nb 0.3747 0.8888 0.6654
Re 0.3240 0.3047 0.8044
Nb 0.9060 0.2534 0.6223
O 0.1596 0.5711 0.6308
Nb 0.2143 0.6987 0.0450
Nb 0.1500 0.1850 0.2098
O 0.8075 0.8983 0.0071
Nb 0.8500 0.8150 0.7902
Nb 0.6253 0.1112 0.3346
Nb 0.7857 0.3013 0.9550
CELL_PARAMETERS angstrom
-4.6912 2.0651 0.1986
-1.5038 -1.0973 5.0323
2.3067 7.9259 3.3939

[7]
! Sr2NbReO | the Alexandria database | PBE | relaxed; values from VASP
! - symmetry = P4/mmm (123)
! - magnetic moment (μB per atom) = 0.000
! - E (eV/atom) = -6.125
! - ΔE_f (raw) (eV per atom) = 0.043
&SYSTEM
  ibrav = 0, nat = 5, ntyp = 4
/
ATOMIC_SPECIES
O 16.00 O.upf
Sr 87.62 Sr.upf
Re 186.21 Re.upf
Nb 92.91 Nb.upf
ATOMIC_POSITIONS crystal
O 0.0000 0.0000 0.0000
Sr 0.0000 0.0000 0.5000
Re 0.5000 0.5000 0.5000
Sr 0.5000 0.0000 0.0000
Nb 0.0000 0.5000 0.0000
CELL_PARAMETERS angstrom
-4.6411 -1.4627 0.9006
0.6369 -3.4986 -2.4004
1.5528 -2.4629 4.0017

[8]
! NbRh2O6 | the Alexandria database | PBE | relaxed; values from VASP
! - symmetry = C2/m (12)
! - magnetic moment (μB per atom) = 0.000
! - E (eV/atom) = -7.228
! - ΔE_f (raw) (eV per atom) = -1.170
&SYSTEM
  ibrav = 0, nat = 9, ntyp = 3
/
ATOMIC_SPECIES
Rh 102.91 Rh.upf
O 16.00 O.upf
Nb 92.91 Nb.upf
ATOMIC_POSITIONS crystal
Rh 0.8304 0.2500 0.0892
O 0.7378 0.6476 0.8767
Nb 0.0000 0.5000 0.5000
Rh 0.1696 0.7500 0.9108
O 0.0413 0.1576 0.7598
O 0.6282 0.3516 0.3920
O 0.9587 0.8424 0.2402
O 0.3718 0.6484 0.6080
O 0.2622 0.3524 0.1233
CELL_PARAMETERS angstrom
-2.3005 2.9797 -0.4457
-0.8509 0.9680 -5.2567
-5.5149 -2.0971 -1.6751

[9]
! NbRh3O | the Alexandria database | PBE | relaxed; values from VASP
! - symmetry = Pm-3m (221)
! - magnetic moment (μB per atom) = 0.420
! - E (eV/atom) = -5.828
! - ΔE_f (raw) (eV per atom) = 1.589
&SYSTEM
  ibrav = 0, nat = 5, ntyp = 3
/
ATOMIC_SPECIES
Nb 92.91 Nb.upf
O 16.00 O.upf
Rh 102.91 Rh.upf
ATOMIC_POSITIONS crystal
Nb 0.0000 0.0000 0.0000
O 0.5000 0.5000 0.5000
Rh 0.0000 0.0000 0.5000
Rh 0.0000 0.5000 0.0000
Rh 0.5000 0.0000 0.0000
CELL_PARAMETERS angstrom
-1.8903 -2.9319 -3.2234
-1.1013 -3.0781 3.4456
-4.2159 2.1187 0.5452

[10]
! Nb3RhO | the Alexandria database | PBE | relaxed; values from VASP
! - symmetry = Pm-3m (221)
! - magnetic moment (μB per atom) = 0.000
! - E (eV/atom) = -9.249
! - ΔE_f (raw) (eV per atom) = -0.745
&SYSTEM
  ibrav = 0, nat = 5, ntyp = 3
/
ATOMIC_SPECIES
Nb 92.91 Nb.upf
Rh 102.91 Rh.upf
O 16.00 O.upf
ATOMIC_POSITIONS crystal
Nb 0.5000 0.0000 0.0000
Rh 0.5000 0.5000 0.5000
O 0.0000 0.0000 0.0000
Nb 0.0000 0.0000 0.5000
Nb 0.0000 0.5000 0.0000
CELL_PARAMETERS angstrom
-3.0665 -2.8980 0.3036
2.7417 -2.7203 1.7253
-0.9868 1.4475 3.8503

[11]
! NbRhO2 | the Alexandria database | PBE | relaxed; values from VASP
! - symmetry = Fm-3m (225)
! - magnetic moment (μB per atom) = 0.009
! - E (eV/atom) = -7.422
! - ΔE_f (raw) (eV per atom) = -0.587
&SYSTEM
  ibrav = 0, nat = 4, ntyp = 3
/
ATOMIC_SPECIES
O 16.00 O.upf
Nb 92.91 Nb.upf
Rh 102.91 Rh.upf
ATOMIC_POSITIONS crystal
O 0.7500 0.7500 0.7500
Nb 0.0000 0.0000 0.0000
Rh 0.5000 0.5000 0.5000
O 0.2500 0.2500 0.2500
CELL_PARAMETERS angstrom
-2.4101 -3.1145 -0.2001
-1.3205 -1.6871 3.3104
-3.7894 0.3703 1.0256

[12]
! NbRhO2 | the Alexandria database | PBE | relaxed; values from VASP
! - symmetry = R-3m (166)
! - magnetic moment (μB per atom) = 0.000
! - E (eV/atom) = -7.461
! - ΔE_f (raw) (eV per atom) = -0.627
&SYSTEM
  ibrav = 0, nat = 4, ntyp = 3
/
ATOMIC_SPECIES
Nb 92.91 Nb.upf
O 16.00 O.upf
Rh 102.91 Rh.upf
ATOMIC_POSITIONS crystal
Nb 0.0000 0.0000 0.0000
O 0.8886 0.8886 0.8886
O 0.1114 0.1114 0.1114
Rh 0.5000 0.5000 0.5000
CELL_PARAMETERS angstrom
1.8166 0.0000 6.0835
-0.9083 1.5732 6.0835
-0.9083 -1.5732 6.0835